This record from Alexandria describes crystalline KNaTl2Zn at its relaxed geometry. The functional is PBE.

The structure belongs to space group P4/mmm (No. 123); the cell edges are 5.449, 5.449 and 5.731 Å and the angles 90.00°, 90.00° and 90.00°. The distinct sites, in fractional coordinates, are K at (0.000, 0.000, 0.000), Na at (0.500, 0.500, 0.000), Tl at (0.000, 0.500, 0.500) and Zn at (0.500, 0.500, 0.500).

The energy relative to the elements comes out at 21 kJ/mol of formula units. The raw total energy is -1.64 eV/atom. The volume comes out at 34.04 Å³/atom. For the magnetic moment, the calculation gives 0.0 μB/cell.